Entry 1:
## Ce3GeI2 (PBE-GGA)

Data for crystalline Ce3GeI2 at its relaxed geometry.

Formation energy without anion corrections ... -5.03 eV per formula unit
Fermi-level density of states ... 42.0 states/eV per cell
Final energy ... -5.092 eV per atom

```
Ce3GeI2
1.0
-7.062 0.142 -2.968
-6.051 -1.468 4.438
-2.876 7.141 0.631
Ce I Ge
6 4 2
direct
0.428 0.648 0.775
0.076 0.352 0.775
0.572 0.352 0.225
0.924 0.648 0.225
0.717 0.000 0.785
0.283 0.000 0.215
0.842 0.316 0.500
0.158 0.684 0.500
0.500 0.000 0.500
0.000 0.000 0.000
0.331 0.338 0.000
0.669 0.662 0.000
```



Entry 2:
## Pm6As2Se3I (PBE-GGA)

Data for crystalline Pm6As2Se3I at its relaxed geometry.

Formation energy without anion corrections ... -19.09 eV per formula unit
Fermi-level density of states ... 5.1 states/eV per cell
Final energy ... -5.741 eV per atom

```
Pm6As2Se3I
1.0
-2.133 -3.267 1.700
7.136 -2.593 3.973
-2.726 7.351 5.377
As Se I Pm
2 3 1 6
direct
0.832 0.666 0.665
0.168 0.334 0.335
0.841 0.164 0.683
0.159 0.836 0.317
0.500 0.500 0.000
0.500 0.000 0.000
0.669 0.578 0.338
0.993 0.715 0.986
0.319 0.896 0.638
0.331 0.422 0.662
0.681 0.104 0.362
0.007 0.285 0.014
```